Entry from the Alexandria database: a relaxed InOsCl2 crystal (GGA-PBE).

Cell and atoms, written as CIF:
```
data_InOsCl2
_cell_length_a 3.116
_cell_length_b 8.344
_cell_length_c 9.286
_cell_angle_alpha 90.00
_cell_angle_beta 90.00
_cell_angle_gamma 90.00
_space_group_name_H-M_alt 'I m m 2'
_space_group_IT_number 44
loop_
_space_group_symop_operation_xyz
'x,y,z'
'-x,-y,z'
'-x,y,z'
'x,-y,z'
'x+1/2,y+1/2,z+1/2'
'-x+1/2,-y+1/2,z+1/2'
'-x+1/2,y+1/2,z+1/2'
'x+1/2,-y+1/2,z+1/2'
loop_
_atom_site_label
_atom_site_fract_x
_atom_site_fract_y
_atom_site_fract_z
In1 0.000 0.000 0.000
Os1 0.000 0.500 0.264
Cl1 0.000 0.000 0.583
Cl2 0.000 0.500 0.719
```

Properties
**E**: -32.853 eV per cell
**Distance to the lowest polymorph of the same formula**: 114.5 kJ/mol of formula units
**E_form (uncorrected)**: 309 meV per atom


Entry from the Alexandria database: a relaxed Tb4Te2N crystal (GGA-PBE).

Cell and atoms, written as CIF:
```
data_Tb4Te2N
_cell_length_a 4.505
_cell_length_b 4.505
_cell_length_c 19.467
_cell_angle_alpha 90.00
_cell_angle_beta 90.00
_cell_angle_gamma 90.00
_space_group_name_H-M_alt 'I 4/m m m'
_space_group_IT_number 139
_space_group_name_Hall '-I 4 2'
loop_
_atom_site_label
_atom_site_fract_x
_atom_site_fract_y
_atom_site_fract_z
Tb1 0.000 0.000 0.177
Tb2 0.000 0.500 0.000
Te1 0.000 0.000 0.335
N1 0.000 0.000 0.500
```

Properties
**E**: -78.300 eV per cell
**E_form (uncorrected)**: -860 meV per atom


Entry from the Alexandria database: a relaxed KAlPbN2 crystal (GGA-PBE).

Cell and atoms, written as CIF:
```
data_KAlPbN2
_cell_length_a 4.195
_cell_length_b 4.195
_cell_length_c 5.294
_cell_angle_alpha 90.00
_cell_angle_beta 90.00
_cell_angle_gamma 90.00
_space_group_name_H-M_alt 'P 4/m m m'
_space_group_IT_number 123
_space_group_name_Hall '-P 4 2'
loop_
_atom_site_label
_atom_site_fract_x
_atom_site_fract_y
_atom_site_fract_z
K1 0.000 0.000 0.000
Al1 0.500 0.500 0.500
Pb1 0.500 0.500 0.000
N1 0.000 0.500 0.500
```

Properties
**E**: -20.167 eV per cell
**E_form (uncorrected)**: 1006 meV per atom


Entry from the Alexandria database: a relaxed KPW2 crystal (GGA-PBE).

Cell and atoms, written as CIF:
```
data_KPW2
_cell_length_a 3.333
_cell_length_b 4.704
_cell_length_c 9.648
_cell_angle_alpha 90.00
_cell_angle_beta 90.00
_cell_angle_gamma 90.00
_space_group_name_H-M_alt 'C m m 2'
_space_group_IT_number 35
loop_
_space_group_symop_operation_xyz
'x,y,z'
'-x,-y,z'
'-x,y,z'
'x,-y,z'
'x+1/2,y+1/2,z'
'-x+1/2,-y+1/2,z'
'-x+1/2,y+1/2,z'
'x+1/2,-y+1/2,z'
loop_
_atom_site_label
_atom_site_fract_x
_atom_site_fract_y
_atom_site_fract_z
K1 0.000 0.000 0.000
P1 0.000 0.500 0.273
W1 0.000 0.000 0.462
W2 0.000 0.500 0.680
```

Properties
**Energy of formation from the pure elements**: 2.23 eV/f.u.
**E**: -60.363 eV per cell
**Distance to the lowest polymorph of the same formula**: 51.6 kJ/mol of formula units


Entry from the Alexandria database: a relaxed ZrPbAu2 crystal (GGA-PBE).

Cell and atoms, written as CIF:
```
data_ZrPbAu2
_cell_length_a 3.153
_cell_length_b 4.668
_cell_length_c 5.969
_cell_angle_alpha 90.00
_cell_angle_beta 95.22
_cell_angle_gamma 90.00
_space_group_name_H-M_alt 'P 1 m 1'
_space_group_IT_number 6
loop_
_space_group_symop_operation_xyz
'x,y,z'
'x,-y,z'
loop_
_atom_site_label
_atom_site_fract_x
_atom_site_fract_y
_atom_site_fract_z
Zr1 0.000 0.000 0.000
Pb1 0.318 0.500 0.688
Au1 0.558 0.500 0.178
Au2 0.574 0.000 0.444
```

Properties
**Energy of formation from the pure elements**: -0.69 eV/f.u.
**E**: -19.503 eV per cell


Entry from the Alexandria database: a relaxed AgSbRhO6 crystal (GGA-PBE).

Cell and atoms, written as CIF:
```
data_AgSbRhO6
_cell_length_a 5.2877
_cell_length_b 5.2877
_cell_length_c 9.3987
_cell_angle_alpha 90.00
_cell_angle_beta 90.00
_cell_angle_gamma 120.00
_space_group_name_H-M_alt 'P -3 1 c'
_space_group_IT_number 163
_space_group_name_Hall '-P 3 2c'
loop_
_atom_site_label
_atom_site_fract_x
_atom_site_fract_y
_atom_site_fract_z
Ag1 0.0000 0.0000 0.0000
Sb1 0.3333 0.6667 0.2500
Rh1 0.3333 0.6667 0.7500
O1 0.0071 0.3727 0.6333
```

Properties
**E**: -100.886 eV per cell
**E_form (uncorrected)**: -708 meV per atom


Entry from the Alexandria database: a relaxed TbDy3Hg6 crystal (GGA-PBE).

Cell and atoms, written as CIF:
```
data_TbDy3Hg6
_cell_length_a 9.174
_cell_length_b 5.153
_cell_length_c 11.113
_cell_angle_alpha 90.00
_cell_angle_beta 106.64
_cell_angle_gamma 90.00
_space_group_name_H-M_alt 'P 1 21/m 1'
_space_group_IT_number 11
loop_
_space_group_symop_operation_xyz
'x,y,z'
'-x,-y,-z'
'-x,y+1/2,-z'
'x,-y+1/2,z'
loop_
_atom_site_label
_atom_site_fract_x
_atom_site_fract_y
_atom_site_fract_z
Tb1 0.063 0.250 0.389
Dy1 0.229 0.250 0.007
Dy2 0.353 0.750 0.799
Dy3 0.485 0.250 0.613
Hg1 0.063 0.750 0.899
Hg2 0.140 0.750 0.200
Hg3 0.164 0.250 0.688
Hg4 0.244 0.750 0.512
Hg5 0.350 0.250 0.297
Hg6 0.464 0.750 0.091
```

Properties
**Energy of formation from the pure elements**: -4.31 eV/f.u.
**E**: -49.110 eV per cell


Entry from the Alexandria database: a relaxed K2OsAu crystal (GGA-PBE).

Cell and atoms, written as CIF:
```
data_K2OsAu
_cell_length_a 12.764
_cell_length_b 2.725
_cell_length_c 6.203
_cell_angle_alpha 90.00
_cell_angle_beta 107.00
_cell_angle_gamma 90.00
_space_group_name_H-M_alt 'C 1 m 1'
_space_group_IT_number 8
loop_
_space_group_symop_operation_xyz
'x,y,z'
'x,-y,z'
'x+1/2,y+1/2,z'
'x+1/2,-y+1/2,z'
loop_
_atom_site_label
_atom_site_fract_x
_atom_site_fract_y
_atom_site_fract_z
K1 0.000 0.000 0.000
K2 0.198 0.000 0.604
Os1 0.432 0.000 0.456
Au1 0.268 0.500 0.149
```

Properties
**Energy of formation from the pure elements**: 3.04 eV/f.u.
**E**: -27.324 eV per cell
**Distance to the lowest polymorph of the same formula**: 26.1 kJ/mol of formula units